! SmThPt, relaxed, DFT PBE; values from VASP
! relative energy among the computed polymorphs: 0.374 eV per formula unit
! V: 30.0 Å³ per atom
! DFT total energy: -0.2467 hartree per atom
! formation enthalpy at 0 K: -0.65 eV/atom
! density of states at the Fermi level: 1.10 states/eV/atom
! symmetry: No. 14
! magnetic moment: 0.00 μB/atom
&SYSTEM
  ibrav = 0, nat = 12, ntyp = 3
/
ATOMIC_SPECIES
Sm 150.36 Sm.upf
Th 232.04 Th.upf
Pt 195.08 Pt.upf
CELL_PARAMETERS angstrom
7.120 0.000 0.000
0.000 5.945 0.000
-6.660 0.000 8.513
ATOMIC_POSITIONS crystal
Sm 0.201 0.144 0.374
Sm 0.201 0.356 0.874
Sm 0.799 0.644 0.126
Sm 0.799 0.856 0.626
Th 0.316 0.641 0.627
Th 0.316 0.859 0.127
Th 0.684 0.141 0.873
Th 0.684 0.359 0.373
Pt 0.320 0.645 0.363
Pt 0.320 0.855 0.863
Pt 0.680 0.145 0.137
Pt 0.680 0.355 0.637